# 1
This record from Alexandria via LeMat-Bulk describes crystalline La3Dy2HoS6 at its relaxed geometry. The functional is PBE.

Cell lengths 6.921, 6.921, 7.067 Å; angles 99.41, 99.41, 120.12 degrees
Sites, in units of the cell vectors:
1 La 0.000 0.000 0.000
2 La 0.333 0.667 0.000
3 La 0.667 0.333 0.000
4 Dy 0.167 0.833 0.500
5 Dy 0.833 0.167 0.500
6 Ho 0.500 0.500 0.500
7 S 0.092 0.424 0.271
8 S 0.244 0.244 0.729
9 S 0.424 0.092 0.271
10 S 0.576 0.908 0.729
11 S 0.756 0.756 0.271
12 S 0.908 0.576 0.729

Values from the calculation:
- Calculated volume: 23.06 A^3/atom
- Space-group type: C2/m (12)
- Formation energy from raw total energies: -2.09 eV per atom
- Fermi-level density of states: 0.50 states/eV per atom

# 2
This record from Alexandria via LeMat-Bulk describes crystalline Er3ZrAl8 at its relaxed geometry. The functional is PBE.

Cell lengths 5.447, 5.447, 9.036 Å; angles 90.00, 90.00, 120.00 degrees
Sites, in units of the cell vectors:
1 Er 0.000 0.000 0.000
2 Er 0.000 0.000 0.368
3 Er 0.333 0.667 0.863
4 Zr 0.333 0.667 0.500
5 Al 0.009 0.504 0.187
6 Al 0.326 0.163 0.677
7 Al 0.496 0.504 0.187
8 Al 0.496 0.991 0.187
9 Al 0.667 0.333 0.432
10 Al 0.667 0.333 0.931
11 Al 0.837 0.163 0.677
12 Al 0.837 0.674 0.677

Values from the calculation:
- Calculated volume: 19.35 A^3/atom
- Energy of formation from the pure elements: -5.9 eV/f.u.
- Excess energy over the best structure of this formula in the dataset: 0.013 eV/atom
- Space-group type: P3m1 (156)
- Fermi-level density of states: 0.59 states/eV per atom

# 3
This record from Alexandria via LeMat-Bulk describes crystalline BRh3Pb at its relaxed geometry. The functional is PBE.

Cell lengths 4.159, 5.779, 7.198 Å; angles 90.00, 106.85, 90.00 degrees
Sites, in units of the cell vectors:
1 B 0.095 0.250 0.191
2 B 0.905 0.750 0.809
3 Rh 0.190 0.512 0.381
4 Rh 0.190 0.988 0.381
5 Rh 0.382 0.750 0.763
6 Rh 0.618 0.250 0.237
7 Rh 0.810 0.012 0.619
8 Rh 0.810 0.488 0.619
9 Pb 0.417 0.250 0.833
10 Pb 0.583 0.750 0.167

Values from the calculation:
- Calculated volume: 16.56 A^3/atom
- Energy of formation from the pure elements: 0.3 eV/f.u.
- Excess energy over the best structure of this formula in the dataset: 0.293 eV/atom
- Space-group type: P2_1/m (11)
- Fermi-level density of states: 0.70 states/eV per atom

# 4
This record from Alexandria via LeMat-Bulk describes crystalline LiAsOs3 at its relaxed geometry. The functional is PBE.

Cell lengths 4.160, 4.160, 4.160 Å; angles 90.00, 90.00, 90.00 degrees
Sites, in units of the cell vectors:
1 Li 0.000 0.000 0.000
2 As 0.500 0.500 0.500
3 Os 0.000 0.000 0.500
4 Os 0.000 0.500 0.000
5 Os 0.500 0.000 0.000

Values from the calculation:
- Calculated volume: 14.40 A^3/atom
- Energy of formation from the pure elements: 7.9 eV/f.u.
- Excess energy over the best structure of this formula in the dataset: 0.071 eV/atom
- Space-group type: Pm-3m (221)
- Fermi-level density of states: 1.40 states/eV per atom

# 5
This record from Alexandria via LeMat-Bulk describes crystalline UGaS4 at its relaxed geometry. The functional is PBE.

Cell lengths 6.365, 3.756, 6.566 Å; angles 90.00, 92.25, 90.00 degrees
Sites, in units of the cell vectors:
1 U 0.000 0.000 0.000
2 Ga 0.500 0.500 0.000
3 S 0.168 0.500 0.230
4 S 0.345 0.000 0.792
5 S 0.655 0.000 0.208
6 S 0.832 0.500 0.770

Values from the calculation:
- Calculated volume: 26.14 A^3/atom
- Space-group type: P2/m (10)
- Formation energy from raw total energies: -0.85 eV per atom
- Fermi-level density of states: 0.70 states/eV per atom

# 6
This record from Alexandria via LeMat-Bulk describes crystalline Tb4CePmS8 at its relaxed geometry. The functional is PBE.

Cell lengths 8.193, 8.193, 8.193 Å; angles 59.67, 59.67, 59.67 degrees
Sites, in units of the cell vectors:
1 Tb 0.000 0.000 0.000
2 Tb 0.374 0.374 0.875
3 Tb 0.374 0.875 0.374
4 Tb 0.875 0.374 0.374
5 Ce 0.748 0.748 0.748
6 Pm 0.374 0.374 0.374
7 S 0.127 0.127 0.605
8 S 0.127 0.605 0.127
9 S 0.132 0.132 0.132
10 S 0.156 0.617 0.617
11 S 0.605 0.127 0.127
12 S 0.613 0.613 0.613
13 S 0.617 0.156 0.617
14 S 0.617 0.617 0.156

Values from the calculation:
- Calculated volume: 27.57 A^3/atom
- Space-group type: R3m (160)
- Formation energy from raw total energies: -1.92 eV per atom
- Fermi-level density of states: 0.90 states/eV per atom

# 7
This record from Alexandria via LeMat-Bulk describes crystalline La2InSiSn at its relaxed geometry. The functional is PBE.

Cell lengths 6.032, 6.032, 4.809 Å; angles 90.00, 90.00, 90.00 degrees
Sites, in units of the cell vectors:
1 La 0.000 0.500 0.000
2 La 0.500 0.000 0.000
3 In 0.000 0.000 0.000
4 Si 0.000 0.000 0.500
5 Sn 0.500 0.500 0.500

Values from the calculation:
- Calculated volume: 34.99 A^3/atom
- Space-group type: P4/mmm (123)
- Formation energy from raw total energies: 0.25 eV per atom
- Fermi-level density of states: 1.16 states/eV per atom

# 8
This record from Alexandria via LeMat-Bulk describes crystalline Li2ReSi at its relaxed geometry. The functional is PBE.

Cell lengths 2.632, 4.073, 5.284 Å; angles 90.00, 102.14, 90.00 degrees
Sites, in units of the cell vectors:
1 Li 0.000 0.000 0.000
2 Li 0.375 0.500 0.806
3 Re 0.696 0.500 0.329
4 Si 0.278 0.000 0.484

Values from the calculation:
- Calculated volume: 13.84 A^3/atom
- Space-group type: Pm (6)
- Formation energy from raw total energies: 0.00 eV per atom
- Fermi-level density of states: 0.61 states/eV per atom

# 9
This record from Alexandria via LeMat-Bulk describes crystalline CuTe2MoBr at its relaxed geometry. The functional is PBE.

Cell lengths 5.329, 5.329, 5.058 Å; angles 90.00, 90.00, 90.00 degrees
Sites, in units of the cell vectors:
1 Cu 0.000 0.000 0.000
2 Te 0.000 0.500 0.500
3 Te 0.500 0.000 0.500
4 Mo 0.500 0.500 0.500
5 Br 0.500 0.500 0.000

Values from the calculation:
- Calculated volume: 28.73 A^3/atom
- Space-group type: P4/mmm (123)
- Formation energy from raw total energies: 0.63 eV per atom
- Fermi-level density of states: 1.22 states/eV per atom

# 10
This record from Alexandria via LeMat-Bulk describes crystalline Li2Tl3IrO6 at its relaxed geometry. The functional is PBE.

Cell lengths 5.862, 5.862, 6.037 Å; angles 94.93, 94.93, 121.49 degrees
Sites, in units of the cell vectors:
1 Li 0.206 0.794 0.000
2 Li 0.794 0.206 0.000
3 Tl 0.000 0.000 0.500
4 Tl 0.326 0.674 0.500
5 Tl 0.674 0.326 0.500
6 Ir 0.500 0.500 0.000
7 O 0.157 0.428 0.844
8 O 0.328 0.328 0.255
9 O 0.428 0.157 0.844
10 O 0.572 0.843 0.156
11 O 0.672 0.672 0.745
12 O 0.843 0.572 0.156

Values from the calculation:
- Calculated volume: 14.51 A^3/atom
- Space-group type: C2/m (12)
- Formation energy from raw total energies: -0.93 eV per atom
- Fermi-level density of states: 0.49 states/eV per atom

# 11
This record from Alexandria via LeMat-Bulk describes crystalline ZrNb2Ru2 at its relaxed geometry. The functional is PBE.

Cell lengths 7.694, 7.694, 2.973 Å; angles 90.00, 90.00, 90.00 degrees
Sites, in units of the cell vectors:
1 Zr 0.000 0.000 0.000
2 Zr 0.500 0.500 0.000
3 Nb 0.149 0.351 0.000
4 Nb 0.351 0.851 0.000
5 Nb 0.649 0.149 0.000
6 Nb 0.851 0.649 0.000
7 Ru 0.149 0.649 0.500
8 Ru 0.351 0.149 0.500
9 Ru 0.649 0.851 0.500
10 Ru 0.851 0.351 0.500

Values from the calculation:
- Calculated volume: 17.60 A^3/atom
- Energy of formation from the pure elements: -0.5 eV/f.u.
- Excess energy over the best structure of this formula in the dataset: 0.026 eV/atom
- Space-group type: P4/mbm (127)
- Fermi-level density of states: 1.21 states/eV per atom

# 12
This record from Alexandria via LeMat-Bulk describes crystalline Pm2NdS4 at its relaxed geometry. The functional is PBE.

Cell lengths 6.976, 6.976, 13.450 Å; angles 90.00, 90.00, 147.25 degrees
Sites, in units of the cell vectors:
1 Pm 0.129 0.871 0.570
2 Pm 0.129 0.871 0.930
3 Pm 0.871 0.129 0.070
4 Pm 0.871 0.129 0.430
5 Nd 0.374 0.626 0.750
6 Nd 0.626 0.374 0.250
7 S 0.028 0.972 0.750
8 S 0.224 0.776 0.122
9 S 0.224 0.776 0.378
10 S 0.500 0.500 0.000
11 S 0.500 0.500 0.500
12 S 0.776 0.224 0.622
13 S 0.776 0.224 0.878
14 S 0.972 0.028 0.250

Values from the calculation:
- Calculated volume: 25.30 A^3/atom
- Excess energy over the best structure of this formula in the dataset: 0.000 eV/atom
- Space-group type: Cmcm (63)
- Formation energy from raw total energies: -2.04 eV per atom
- Fermi-level density of states: 0.26 states/eV per atom

Please write out number 6 again, unchanged.
This record from Alexandria via LeMat-Bulk describes crystalline Tb4CePmS8 at its relaxed geometry. The functional is PBE.

Cell lengths 8.193, 8.193, 8.193 Å; angles 59.67, 59.67, 59.67 degrees
Sites, in units of the cell vectors:
1 Tb 0.000 0.000 0.000
2 Tb 0.374 0.374 0.875
3 Tb 0.374 0.875 0.374
4 Tb 0.875 0.374 0.374
5 Ce 0.748 0.748 0.748
6 Pm 0.374 0.374 0.374
7 S 0.127 0.127 0.605
8 S 0.127 0.605 0.127
9 S 0.132 0.132 0.132
10 S 0.156 0.617 0.617
11 S 0.605 0.127 0.127
12 S 0.613 0.613 0.613
13 S 0.617 0.156 0.617
14 S 0.617 0.617 0.156

Values from the calculation:
- Calculated volume: 27.57 A^3/atom
- Space-group type: R3m (160)
- Formation energy from raw total energies: -1.92 eV per atom
- Fermi-level density of states: 0.90 states/eV per atom

Question: What is the Fermi-level density of states in the first record?
Answer: 0.50 states/eV per atom

Please write out number 3 again, unchanged.
This record from Alexandria via LeMat-Bulk describes crystalline BRh3Pb at its relaxed geometry. The functional is PBE.

Cell lengths 4.159, 5.779, 7.198 Å; angles 90.00, 106.85, 90.00 degrees
Sites, in units of the cell vectors:
1 B 0.095 0.250 0.191
2 B 0.905 0.750 0.809
3 Rh 0.190 0.512 0.381
4 Rh 0.190 0.988 0.381
5 Rh 0.382 0.750 0.763
6 Rh 0.618 0.250 0.237
7 Rh 0.810 0.012 0.619
8 Rh 0.810 0.488 0.619
9 Pb 0.417 0.250 0.833
10 Pb 0.583 0.750 0.167

Values from the calculation:
- Calculated volume: 16.56 A^3/atom
- Energy of formation from the pure elements: 0.3 eV/f.u.
- Excess energy over the best structure of this formula in the dataset: 0.293 eV/atom
- Space-group type: P2_1/m (11)
- Fermi-level density of states: 0.70 states/eV per atom